The following is a GGA-PBE calculation of an optimized crystal structure of NaP2OsS, from Alexandria.

Summary:
space-group type = P4/mmm, No. 123
total energy = -26.4 eV for the cell shown
ρ = 4615 kg/m³
energy relative to the elements, uncorrected = 220 meV per atom

a b c (Å): 4.457 4.457 5.564
angles (deg): 90.00 90.00 90.00
Positions (direct):
P: 0.000 0.500 0.000
P: 0.500 0.000 0.000
S: 0.000 0.000 0.500
Os: 0.000 0.000 0.000
Na: 0.500 0.500 0.500


The following is a GGA-PBE calculation of an optimized crystal structure of DyCuNiAg, from Alexandria.

Summary:
space-group type = F-43m, No. 216
total energy = -17.9 eV for the cell shown
E_form = -0.1498 eV per atom
ρ = 9525 kg/m³

a b c (Å): 4.592 4.592 4.592
angles (deg): 60.00 60.00 60.00
Positions (direct):
Ni: 0.500 0.500 0.500
Cu: 0.000 0.000 0.000
Ag: 0.250 0.250 0.250
Dy: 0.750 0.750 0.750


The following is a GGA-PBE calculation of an optimized crystal structure of Cs3AcI6, from Alexandria.

Summary:
space-group type = P2_1/c, No. 14
total energy = -63.5 eV for the cell shown
ρ = 3871 kg/m³
energy relative to the elements, uncorrected = -1576 meV per atom

a b c (Å): 9.242 9.879 13.048
angles (deg): 90.00 87.54 90.00
Positions (direct):
Cs: 0.532 0.922 0.760
Cs: 0.500 0.500 0.000
Cs: 0.468 0.078 0.240
Cs: 0.032 0.578 0.260
Cs: 0.000 0.000 0.500
Cs: 0.968 0.422 0.740
Ac: 0.500 0.500 0.500
Ac: 0.000 0.000 0.000
I: 0.716 0.179 0.944
I: 0.666 0.227 0.580
I: 0.639 0.438 0.270
I: 0.361 0.562 0.730
I: 0.334 0.773 0.420
I: 0.284 0.821 0.056
I: 0.216 0.321 0.444
I: 0.166 0.273 0.080
I: 0.139 0.062 0.770
I: 0.861 0.938 0.230
I: 0.834 0.727 0.920
I: 0.784 0.679 0.556


The following is a GGA-PBE calculation of an optimized crystal structure of PuTiNb2, from Alexandria.

Summary:
space-group type = P4/mmm, No. 123
total energy = -41.6 eV for the cell shown
E_form = 0.1807 eV per atom
ρ = 10548 kg/m³

a b c (Å): 3.324 4.757 4.757
angles (deg): 90.00 90.00 90.00
Positions (direct):
Nb: 0.000 0.000 0.500
Nb: 0.000 0.500 0.000
Ti: 0.500 0.500 0.500
Pu: 0.500 0.000 0.000


Please write out number 3 again, unchanged.
The following is a GGA-PBE calculation of an optimized crystal structure of Cs3AcI6, from Alexandria.

Summary:
space-group type = P2_1/c, No. 14
total energy = -63.5 eV for the cell shown
ρ = 3871 kg/m³
energy relative to the elements, uncorrected = -1576 meV per atom

a b c (Å): 9.242 9.879 13.048
angles (deg): 90.00 87.54 90.00
Positions (direct):
Cs: 0.532 0.922 0.760
Cs: 0.500 0.500 0.000
Cs: 0.468 0.078 0.240
Cs: 0.032 0.578 0.260
Cs: 0.000 0.000 0.500
Cs: 0.968 0.422 0.740
Ac: 0.500 0.500 0.500
Ac: 0.000 0.000 0.000
I: 0.716 0.179 0.944
I: 0.666 0.227 0.580
I: 0.639 0.438 0.270
I: 0.361 0.562 0.730
I: 0.334 0.773 0.420
I: 0.284 0.821 0.056
I: 0.216 0.321 0.444
I: 0.166 0.273 0.080
I: 0.139 0.062 0.770
I: 0.861 0.938 0.230
I: 0.834 0.727 0.920
I: 0.784 0.679 0.556